# PbSeO4 | Alexandria | PBE-GGA | relaxed
data_PbSeO4
_chemical_formula_sum 'Pb2 Se2 O8'
_cell_length_a 6.504
_cell_length_b 6.504
_cell_length_c 6.504
_cell_angle_alpha 126.22
_cell_angle_beta 98.76
_cell_angle_gamma 104.88
_symmetry_space_group_name_H-M 'P 1'
_symmetry_Int_Tables_number 1
loop_
_symmetry_equiv_pos_as_xyz
'x,y,z'
loop_
_atom_site_label
_atom_site_fract_x
_atom_site_fract_y
_atom_site_fract_z
_atom_site_occupancy
Pb1 0.000 0.000 0.000 1
Pb2 0.500 0.000 0.500 1
Se1 0.324 0.574 0.750 1
Se2 0.676 0.426 0.250 1
O1 0.204 0.216 0.512 1
O2 0.204 0.692 0.988 1
O3 0.271 0.687 0.584 1
O4 0.397 0.313 0.084 1
O5 0.603 0.687 0.916 1
O6 0.729 0.313 0.416 1
O7 0.796 0.308 0.012 1
O8 0.796 0.784 0.488 1
# Total moment: 0.0 μB/f.u.
# Polymorph energy (0 for the lowest one): 30 meV per atom
# E_form (uncorrected): -0.906 eV per atom
# DOS(E_F): 0.00 states/eV per cell